The following is a DFT calculation (GGA-PBE) of a geometry-optimized Rb2Pb2F5 structure.

Its uncorrected formation energy is -220.6 kJ per mole of atoms. For the density, the calculation gives 5.37 g cm⁻³. Its crystal system is orthorhombic.

abc: 19.255 6.692 6.534
angles: 90.00 90.00 90.00
Space group Ima2 (No. 46)
Symmetry-distinct sites (fractional):
Rb: 0.137 0.060 0.000
Pb: 0.000 0.000 0.524
Pb: 0.250 0.620 0.045
F: 0.040 0.234 0.263
F: 0.122 0.614 0.065
F: 0.250 0.200 0.680